# Mg6ZrTl PBE-GGA relaxed
# - energy relative to the elements (meV per atom) = 23
# - total magnetization (μB per cell) = 0.3
data_Mg6ZrTl
_cell_length_a 4.4684
_cell_length_b 4.4684
_cell_length_c 9.1756
_cell_angle_alpha 90.00
_cell_angle_beta 90.00
_cell_angle_gamma 90.00
_space_group_name_H-M_alt 'P 4/m m m'
_space_group_IT_number 123
_space_group_name_Hall '-P 4 2'
loop_
_atom_site_label
_atom_site_type_symbol
_atom_site_fract_x
_atom_site_fract_y
_atom_site_fract_z
Mg1 Mg 0.0000 0.0000 0.0000
Mg2 Mg 0.0000 0.0000 0.5000
Mg3 Mg 0.0000 0.5000 0.2445
Zr1 Zr 0.5000 0.5000 0.0000
Tl1 Tl 0.5000 0.5000 0.5000



# Mg2ZrTl4 PBE-GGA relaxed
# - energy relative to the elements (meV per atom) = -32
# - total magnetization (μB per cell) = 0.0
data_Mg2ZrTl4
_cell_length_a 6.6479
_cell_length_b 6.6479
_cell_length_c 8.1990
_cell_angle_alpha 90.00
_cell_angle_beta 90.00
_cell_angle_gamma 90.00
_space_group_name_H-M_alt 'I 4/m m m'
_space_group_IT_number 139
_space_group_name_Hall '-I 4 2'
loop_
_atom_site_label
_atom_site_type_symbol
_atom_site_fract_x
_atom_site_fract_y
_atom_site_fract_z
Mg1 Mg 0.0000 0.5000 0.0000
Zr1 Zr 0.0000 0.0000 0.0000
Tl1 Tl 0.2500 0.2500 0.2500



# Mg2Zr2Tl PBE-GGA relaxed
# - energy relative to the elements (meV per atom) = 197
# - total magnetization (μB per cell) = 0.0
data_Mg2Zr2Tl
_cell_length_a 7.9857
_cell_length_b 7.9857
_cell_length_c 3.5093
_cell_angle_alpha 90.00
_cell_angle_beta 90.00
_cell_angle_gamma 90.00
_space_group_name_H-M_alt 'P 4/m b m'
_space_group_IT_number 127
_space_group_name_Hall '-P 4 2ab'
loop_
_atom_site_label
_atom_site_type_symbol
_atom_site_fract_x
_atom_site_fract_y
_atom_site_fract_z
Mg1 Mg 0.1222 0.3778 0.0000
Zr1 Zr 0.1754 0.6754 0.5000
Tl1 Tl 0.0000 0.0000 0.0000



# MgZr2Tl PBE-GGA relaxed
# - energy relative to the elements (meV per atom) = -39
# - total magnetization (μB per cell) = 0.0
data_MgZr2Tl
_cell_length_a 4.4671
_cell_length_b 4.4797
_cell_length_c 9.3420
_cell_angle_alpha 90.00
_cell_angle_beta 90.00
_cell_angle_gamma 90.00
_space_group_name_H-M_alt 'C m m 2'
_space_group_IT_number 35
_space_group_name_Hall 'C 2 -2'
loop_
_atom_site_label
_atom_site_type_symbol
_atom_site_fract_x
_atom_site_fract_y
_atom_site_fract_z
Mg1 Mg 0.0000 0.0000 0.0000
Zr1 Zr 0.0000 0.0000 0.4984
Zr2 Zr 0.0000 0.5000 0.2595
Tl1 Tl 0.0000 0.5000 0.7578



# MgZrTl PBE-GGA relaxed
# - energy relative to the elements (meV per atom) = -4
# - total magnetization (μB per cell) = 0.0
data_MgZrTl
_cell_length_a 4.8088
_cell_length_b 4.8088
_cell_length_c 3.3524
_cell_angle_alpha 90.00
_cell_angle_beta 90.00
_cell_angle_gamma 120.00
_space_group_name_H-M_alt 'P 3 m 1'
_space_group_IT_number 156
_space_group_name_Hall 'P 3 -2"'
loop_
_atom_site_label
_atom_site_type_symbol
_atom_site_fract_x
_atom_site_fract_y
_atom_site_fract_z
Mg1 Mg 0.0000 0.0000 0.0000
Zr1 Zr 0.3333 0.6667 0.5012
Tl1 Tl 0.6667 0.3333 0.0028



# Mg5Zr12Tl3 PBE-GGA relaxed
# - energy relative to the elements (meV per atom) = 901
# - total magnetization (μB per cell) = 0.6
data_Mg5Zr12Tl3
_cell_length_a 16.9892
_cell_length_b 16.9892
_cell_length_c 16.9892
_cell_angle_alpha 90.00
_cell_angle_beta 90.00
_cell_angle_gamma 90.00
_space_group_name_H-M_alt 'I a -3 d'
_space_group_IT_number 230
_space_group_name_Hall '-I 4bd 2c 3'
loop_
_atom_site_label
_atom_site_type_symbol
_atom_site_fract_x
_atom_site_fract_y
_atom_site_fract_z
Mg1 Mg 0.0000 0.0000 0.0000
Mg2 Mg 0.0000 0.2500 0.3750
Zr1 Zr 0.0010 0.0758 0.6494
Tl1 Tl 0.0000 0.2500 0.1250



# MgZr2Tl PBE-GGA relaxed
# - energy relative to the elements (meV per atom) = 312
# - total magnetization (μB per cell) = 0.0
data_MgZr2Tl
_cell_length_a 8.1430
_cell_length_b 8.1430
_cell_length_c 5.7721
_cell_angle_alpha 90.00
_cell_angle_beta 90.00
_cell_angle_gamma 90.00
_space_group_name_H-M_alt 'I -4 2 d'
_space_group_IT_number 122
_space_group_name_Hall 'I -4 2bw'
loop_
_atom_site_label
_atom_site_type_symbol
_atom_site_fract_x
_atom_site_fract_y
_atom_site_fract_z
Mg1 Mg 0.0000 0.0000 0.0000
Zr1 Zr 0.2460 0.2500 0.6250
Tl1 Tl 0.0000 0.0000 0.5000



# MgZrTl PBE-GGA relaxed
# - energy relative to the elements (meV per atom) = 253
# - total magnetization (μB per cell) = 0.0
data_MgZrTl
_cell_length_a 6.7662
_cell_length_b 6.7662
_cell_length_c 6.7662
_cell_angle_alpha 90.00
_cell_angle_beta 90.00
_cell_angle_gamma 90.00
_space_group_name_H-M_alt 'F -4 3 m'
_space_group_IT_number 216
_space_group_name_Hall 'F -4 2 3'
loop_
_atom_site_label
_atom_site_type_symbol
_atom_site_fract_x
_atom_site_fract_y
_atom_site_fract_z
Mg1 Mg 0.0000 0.0000 0.0000
Zr1 Zr 0.0000 0.0000 0.5000
Tl1 Tl 0.2500 0.2500 0.7500